1.
Compound: PmAl7Au3
Source: the Alexandria database
Functional: PBE
Structure: optimized geometry

* size of the total moment: 0.0 μB/f.u.
* DOS(E_F): 12.80 states/eV per cell
* ΔE_f: -5.77 eV per formula unit

Unit cell a=8.1416 b=8.1416 c=21.2179 alpha=90.00 beta=90.00 gamma=120.00
Space group R-3c (No. 167, hexagonal axes)
Symmetry-distinct sites (fractional):
Pm  0.0000  0.0000  0.0000
Al  0.0000  0.0000  0.2500
Al  0.0108  0.2064  0.1366
Au  0.0000  0.3213  0.2500

***

2.
Compound: PmAl2Au5
Source: the Alexandria database
Functional: PBE
Structure: optimized geometry

* size of the total moment: 0.0 μB/f.u.
* DOS(E_F): 6.30 states/eV per cell
* ΔE_f: -4.05 eV per formula unit

Unit cell a=4.086 b=7.241 c=10.807 alpha=90.00 beta=90.00 gamma=90.00
Space group Immm (No. 71)
Symmetry-distinct sites (fractional):
Pm  0.000  0.000  0.000
Al  0.000  0.500  0.240
Au  0.000  0.209  0.363
Au  0.000  0.500  0.000

***

3.
Compound: Pm4AlAu
Source: the Alexandria database
Functional: PBE
Structure: optimized geometry

* size of the total moment: 0.0 μB/f.u.
* DOS(E_F): 25.95 states/eV per cell
* ΔE_f: -1.33 eV per formula unit

Unit cell a=5.410 b=21.918 c=6.435 alpha=90.00 beta=90.00 gamma=90.00
Space group Cmc2_1 (No. 36)
Symmetry-distinct sites (fractional):
Pm  0.000  0.060  0.000
Pm  0.000  0.193  0.716
Pm  0.000  0.216  0.197
Pm  0.000  0.383  0.942
Al  0.000  0.340  0.462
Au  0.000  0.074  0.488

***

4.
Compound: Pm3AlAu4
Source: the Alexandria database
Functional: PBE
Structure: optimized geometry

* size of the total moment: 0.0 μB/f.u.
* DOS(E_F): 12.15 states/eV per cell
* ΔE_f: -5.16 eV per formula unit

Unit cell a=4.087 b=7.079 c=14.224 alpha=90.00 beta=90.00 gamma=90.00
Space group Immm (No. 71)
Symmetry-distinct sites (fractional):
Pm  0.000  0.000  0.000
Pm  0.000  0.500  0.192
Al  0.000  0.000  0.500
Au  0.000  0.289  0.379

***

5.
Compound: Pm2Al6Au9
Source: the Alexandria database
Functional: PBE
Structure: optimized geometry

* size of the total moment: 0.0 μB/f.u.
* DOS(E_F): 6.24 states/eV per cell
* ΔE_f: -7.45 eV per formula unit

Unit cell a=5.8122 b=5.8122 c=12.2295 alpha=90.00 beta=90.00 gamma=120.00
Space group P6/mmm (No. 191)
Symmetry-distinct sites (fractional):
Pm  0.0000  0.0000  0.1757
Al  0.3333  0.6667  0.1655
Al  0.3333  0.6667  0.5000
Au  0.0000  0.5000  0.0000
Au  0.0000  0.5000  0.3321

***

6.
Compound: Pm2Al7Au
Source: the Alexandria database
Functional: PBE
Structure: optimized geometry

* size of the total moment: 0.0 μB/f.u.
* DOS(E_F): 4.37 states/eV per cell
* ΔE_f: -4.29 eV per formula unit

Unit cell a=4.268 b=4.268 c=11.154 alpha=90.00 beta=90.00 gamma=90.00
Space group P-4m2 (No. 115)
Symmetry-distinct sites (fractional):
Pm  0.000  0.500  0.250
Al  0.000  0.000  0.000
Al  0.000  0.000  0.500
Al  0.000  0.500  0.640
Al  0.000  0.500  0.865
Al  0.500  0.500  0.500
Au  0.500  0.500  0.000